1.
Below is YNiSn2Bi after structural relaxation, with properties calculated at the PBE-GGA level.

a = 4.8899 Å, b = 4.8899 Å, c = 5.4374 Å
α = 90.00°, β = 90.00°, γ = 90.00°
With the nearest neighbours (Å) after each atom.
Positions (direct):
Y: 0.0000 0.0000 0.5000  2 Ni 2.72
Ni: 0.0000 0.0000 0.0000  4 Sn 2.44, 2 Y 2.72
Bi: 0.5000 0.5000 0.5000  4 Y 3.46, 8 Sn 3.66
Sn: 0.0000 0.5000 0.0000  2 Ni 2.44
Sn: 0.5000 0.0000 0.0000  2 Ni 2.44

Output
- density of states at the Fermi level (states/eV per atom) = 0.89
- total moment (μB per formula unit) = 0.000
- calculated total energy (eV for the cell shown) = -25.520

=====

2.
Below is YNiSn2Bi after structural relaxation, with properties calculated at the PBE-GGA level.

a = 5.7462 Å, b = 5.8093 Å, c = 5.7462 Å
α = 90.00°, β = 90.00°, γ = 90.00°
With the nearest neighbours (Å) after each atom.
Positions (direct):
Y: 0.0000 0.5000 0.0000  2 Bi 2.90
Ni: 0.5000 0.5000 0.5000  4 Y 4.06, 8 Sn 4.09
Bi: 0.0000 0.0000 0.0000  4 Sn 2.87, 2 Y 2.90
Sn: 0.0000 0.0000 0.5000  2 Bi 2.87
Sn: 0.5000 0.0000 0.0000  2 Bi 2.87

Output
- density of states at the Fermi level (states/eV per atom) = 1.70
- total moment (μB per formula unit) = 0.739
- calculated total energy (eV for the cell shown) = -18.674